{"formula": "RbInSn2Ge", "functional": "PBE", "state": "optimized geometry", "formation_enthalpy_0k_mev_per_atom": -92, "crystal_system": "tetragonal", "mass_density_g_cm3": 5.4, "cell": [[5.264, 0.000, 0.000], [0.000, 5.264, 0.000], [0.000, 0.000, 11.397]], "species": ["Rb", "Rb", "In", "In", "Sn", "Sn", "Sn", "Sn", "Ge", "Ge"], "fractional_positions": [[0.000, 0.000, 0.000], [0.500, 0.500, 0.500], [0.000, 0.500, 0.750], [0.500, 0.000, 0.250], [0.000, 0.000, 0.369], [0.000, 0.000, 0.631], [0.500, 0.500, 0.131], [0.500, 0.500, 0.869], [0.000, 0.500, 0.250], [0.500, 0.000, 0.750]]}

{"formula": "Nd2Dy6Ho3Er", "functional": "PBE", "state": "optimized geometry", "formation_enthalpy_0k_mev_per_atom": 17, "crystal_system": "monoclinic", "mass_density_g_cm3": 8.4, "cell": [[3.081, -5.332, 0.000], [3.081, 5.332, 0.000], [-2.043, 0.000, 11.611]], "species": ["Nd", "Nd", "Dy", "Dy", "Dy", "Dy", "Dy", "Dy", "Ho", "Ho", "Ho", "Er"], "fractional_positions": [[0.166, 0.834, 0.000], [0.834, 0.166, 0.000], [0.083, 0.415, 0.747], [0.253, 0.253, 0.253], [0.415, 0.083, 0.747], [0.585, 0.917, 0.253], [0.747, 0.747, 0.747], [0.917, 0.585, 0.253], [0.000, 0.000, 0.500], [0.334, 0.666, 0.500], [0.666, 0.334, 0.500], [0.500, 0.500, 0.000]]}

{"formula": "Lu2PaSn", "functional": "PBE", "state": "optimized geometry", "formation_enthalpy_0k_mev_per_atom": 38, "crystal_system": "cubic", "mass_density_g_cm3": 11.3, "cell": [[7.441, 0.000, 0.000], [0.000, 7.441, 0.000], [0.000, 0.000, 7.441]], "species": ["Lu", "Lu", "Lu", "Lu", "Lu", "Lu", "Lu", "Lu", "Pa", "Pa", "Pa", "Pa", "Sn", "Sn", "Sn", "Sn"], "fractional_positions": [[0.250, 0.250, 0.250], [0.250, 0.250, 0.750], [0.250, 0.750, 0.250], [0.250, 0.750, 0.750], [0.750, 0.250, 0.250], [0.750, 0.250, 0.750], [0.750, 0.750, 0.250], [0.750, 0.750, 0.750], [0.000, 0.000, 0.000], [0.000, 0.500, 0.500], [0.500, 0.000, 0.500], [0.500, 0.500, 0.000], [0.000, 0.000, 0.500], [0.000, 0.500, 0.000], [0.500, 0.000, 0.000], [0.500, 0.500, 0.500]]}

{"formula": "ZnAgPd4", "functional": "PBE", "state": "optimized geometry", "formation_enthalpy_0k_mev_per_atom": -101, "crystal_system": "monoclinic", "mass_density_g_cm3": 10.3, "cell": [[8.849, 0.000, 0.000], [0.000, 2.772, 0.000], [-3.896, 0.000, 7.889]], "species": ["Zn", "Zn", "Ag", "Ag", "Pd", "Pd", "Pd", "Pd", "Pd", "Pd", "Pd", "Pd"], "fractional_positions": [[0.000, 0.000, 0.000], [0.500, 0.500, 0.000], [0.000, 0.500, 0.500], [0.500, 0.000, 0.500], [0.152, 0.500, 0.852], [0.156, 0.000, 0.332], [0.344, 0.500, 0.668], [0.348, 0.000, 0.148], [0.652, 0.000, 0.852], [0.656, 0.500, 0.332], [0.844, 0.000, 0.668], [0.848, 0.500, 0.148]]}

{"formula": "V2HgCl", "functional": "PBE", "state": "optimized geometry", "crystal_system": "tetragonal", "raw_formation_energy_ev_per_atom": 0.6402, "mass_density_g_cm3": 7.0, "cell": [[4.420, 0.000, 0.000], [0.000, 4.420, 0.000], [0.000, 0.000, 16.425]], "species": ["V", "V", "V", "V", "V", "V", "V", "V", "Hg", "Hg", "Hg", "Hg", "Cl", "Cl", "Cl", "Cl"], "fractional_positions": [[0.100, 0.250, 0.125], [0.250, 0.600, 0.375], [0.250, 0.900, 0.875], [0.400, 0.250, 0.625], [0.600, 0.750, 0.625], [0.750, 0.100, 0.875], [0.750, 0.400, 0.375], [0.900, 0.750, 0.125], [0.000, 0.000, 0.500], [0.000, 0.500, 0.750], [0.500, 0.000, 0.250], [0.500, 0.500, 0.000], [0.000, 0.000, 0.000], [0.000, 0.500, 0.250], [0.500, 0.000, 0.750], [0.500, 0.500, 0.500]]}

{"formula": "KMnIr", "functional": "PBE", "state": "optimized geometry", "formation_enthalpy_0k_mev_per_atom": 730, "crystal_system": "trigonal", "mass_density_g_cm3": 8.0, "cell": [[2.953, 0.000, 0.000], [-1.477, 2.558, 0.000], [0.000, 0.000, 7.845]], "species": ["K", "Mn", "Ir"], "fractional_positions": [[0.000, 0.000, 0.000], [0.667, 0.333, 0.399], [0.333, 0.667, 0.647]]}

{"formula": "Nb5RuPtRh2", "functional": "PBE", "state": "optimized geometry", "formation_enthalpy_0k_mev_per_atom": -47, "crystal_system": "tetragonal", "mass_density_g_cm3": 10.1, "cell": [[-3.211, 3.211, 7.732], [3.211, -3.211, 7.732], [3.211, 3.211, -7.732]], "species": ["Nb", "Nb", "Nb", "Nb", "Nb", "Nb", "Nb", "Nb", "Nb", "Nb", "Ru", "Ru", "Pt", "Pt", "Rh", "Rh", "Rh", "Rh"], "fractional_positions": [[0.000, 0.000, 0.000], [0.087, 0.587, 0.960], [0.127, 0.087, 0.500], [0.373, 0.873, 0.960], [0.413, 0.373, 0.500], [0.500, 0.500, 0.000], [0.587, 0.627, 0.500], [0.627, 0.127, 0.040], [0.873, 0.913, 0.500], [0.913, 0.413, 0.040], [0.250, 0.250, 0.000], [0.750, 0.750, 0.000], [0.250, 0.750, 0.500], [0.750, 0.250, 0.500], [0.132, 0.368, 0.500], [0.368, 0.868, 0.236], [0.632, 0.132, 0.764], [0.868, 0.632, 0.500]]}

{"formula": "SbPb2Cl", "functional": "PBE", "state": "optimized geometry", "crystal_system": "trigonal", "raw_formation_energy_ev_per_atom": -0.4244, "mass_density_g_cm3": 7.3, "cell": [[4.577, 0.000, 0.000], [-2.289, 3.964, 0.000], [0.000, 0.000, 21.601]], "species": ["Sb", "Sb", "Sb", "Pb", "Pb", "Pb", "Pb", "Pb", "Pb", "Cl", "Cl", "Cl"], "fractional_positions": [[0.000, 0.000, 0.000], [0.333, 0.667, 0.667], [0.667, 0.333, 0.333], [0.000, 0.000, 0.255], [0.000, 0.000, 0.745], [0.333, 0.667, 0.412], [0.333, 0.667, 0.921], [0.667, 0.333, 0.079], [0.667, 0.333, 0.588], [0.000, 0.000, 0.500], [0.333, 0.667, 0.167], [0.667, 0.333, 0.833]]}

{"formula": "Pm3Ga4Ru2", "functional": "PBE", "state": "optimized geometry", "formation_enthalpy_0k_mev_per_atom": -550, "crystal_system": "monoclinic", "mass_density_g_cm3": 7.9, "cell": [[5.262, -2.239, 0.000], [5.262, 2.239, 0.000], [-2.251, 0.000, 8.148]], "species": ["Pm", "Pm", "Pm", "Ga", "Ga", "Ga", "Ga", "Ru", "Ru"], "fractional_positions": [[0.000, 0.000, 0.000], [0.374, 0.374, 0.306], [0.626, 0.626, 0.694], [0.097, 0.097, 0.408], [0.282, 0.282, 0.923], [0.718, 0.718, 0.077], [0.903, 0.903, 0.592], [0.315, 0.315, 0.641], [0.685, 0.685, 0.359]]}

{"formula": "SrCdInGe", "functional": "PBE", "state": "optimized geometry", "formation_enthalpy_0k_mev_per_atom": -176, "crystal_system": "cubic", "mass_density_g_cm3": 6.0, "cell": [[7.521, 0.000, 0.000], [0.000, 7.521, 0.000], [0.000, 0.000, 7.521]], "species": ["Sr", "Sr", "Sr", "Sr", "Cd", "Cd", "Cd", "Cd", "In", "In", "In", "In", "Ge", "Ge", "Ge", "Ge"], "fractional_positions": [[0.000, 0.000, 0.000], [0.000, 0.500, 0.500], [0.500, 0.000, 0.500], [0.500, 0.500, 0.000], [0.250, 0.250, 0.750], [0.250, 0.750, 0.250], [0.750, 0.250, 0.250], [0.750, 0.750, 0.750], [0.000, 0.000, 0.500], [0.000, 0.500, 0.000], [0.500, 0.000, 0.000], [0.500, 0.500, 0.500], [0.250, 0.250, 0.250], [0.250, 0.750, 0.750], [0.750, 0.250, 0.750], [0.750, 0.750, 0.250]]}

{"formula": "Na2InH6", "functional": "PBE", "state": "optimized geometry", "energy_ev_per_atom": -2.601, "crystal_system": "cubic", "mass_density_g_cm3": 2.8, "cell": [[0.000, 3.669, 3.669], [3.669, 0.000, 3.669], [3.669, 3.669, 0.000]], "species": ["Na", "Na", "In", "H", "H", "H", "H", "H", "H"], "fractional_positions": [[0.250, 0.250, 0.250], [0.750, 0.750, 0.750], [0.000, 0.000, 0.000], [0.262, 0.262, 0.738], [0.262, 0.738, 0.262], [0.262, 0.738, 0.738], [0.738, 0.262, 0.262], [0.738, 0.262, 0.738], [0.738, 0.738, 0.262]]}

{"formula": "RbSm2CuSe4", "functional": "PBE", "state": "optimized geometry", "crystal_system": "orthorhombic", "raw_formation_energy_ev_per_atom": -1.5107, "mass_density_g_cm3": 5.7, "cell": [[2.103, -7.288, 0.000], [2.103, 7.288, 0.000], [0.000, 0.000, 14.596]], "species": ["Rb", "Rb", "Sm", "Sm", "Sm", "Sm", "Cu", "Cu", "Se", "Se", "Se", "Se", "Se", "Se", "Se", "Se"], "fractional_positions": [[0.109, 0.891, 0.750], [0.891, 0.109, 0.250], [0.366, 0.634, 0.563], [0.366, 0.634, 0.937], [0.634, 0.366, 0.063], [0.634, 0.366, 0.437], [0.162, 0.838, 0.250], [0.838, 0.162, 0.750], [0.000, 0.000, 0.000], [0.000, 0.000, 0.500], [0.262, 0.738, 0.112], [0.262, 0.738, 0.388], [0.430, 0.570, 0.750], [0.570, 0.430, 0.250], [0.738, 0.262, 0.612], [0.738, 0.262, 0.888]]}

{"formula": "Zn6GaAu5", "functional": "PBE", "state": "optimized geometry", "formation_enthalpy_0k_mev_per_atom": -159, "crystal_system": "monoclinic", "mass_density_g_cm3": 12.3, "cell": [[4.714, 0.000, 0.000], [0.000, 6.041, 0.000], [-2.293, 0.000, 6.880]], "species": ["Zn", "Zn", "Zn", "Zn", "Zn", "Zn", "Ga", "Au", "Au", "Au", "Au", "Au"], "fractional_positions": [[0.000, 0.248, 0.000], [0.000, 0.752, 0.000], [0.328, 0.250, 0.663], [0.328, 0.750, 0.663], [0.672, 0.250, 0.337], [0.672, 0.750, 0.337], [0.500, 0.000, 0.000], [0.166, 0.500, 0.327], [0.170, 0.000, 0.330], [0.500, 0.500, 0.000], [0.830, 0.000, 0.670], [0.834, 0.500, 0.673]]}

{"formula": "BeAsP2", "functional": "PBE", "state": "optimized geometry", "formation_enthalpy_0k_mev_per_atom": 116, "crystal_system": "tetragonal", "mass_density_g_cm3": 3.9, "cell": [[3.340, 0.000, 0.000], [0.000, 3.340, 0.000], [0.000, 0.000, 5.607]], "species": ["Be", "As", "P", "P"], "fractional_positions": [[0.000, 0.000, 0.000], [0.500, 0.500, 0.898], [0.000, 0.000, 0.387], [0.500, 0.500, 0.482]]}

{"formula": "NaTc3Pb", "functional": "PBE", "state": "optimized geometry", "formation_enthalpy_0k_mev_per_atom": 2232, "crystal_system": "cubic", "mass_density_g_cm3": 6.2, "cell": [[5.201, 0.000, 0.000], [0.000, 5.201, 0.000], [0.000, 0.000, 5.201]], "species": ["Na", "Tc", "Tc", "Tc", "Pb"], "fractional_positions": [[0.000, 0.000, 0.000], [0.000, 0.500, 0.500], [0.500, 0.000, 0.500], [0.500, 0.500, 0.000], [0.500, 0.500, 0.500]]}

{"formula": "DyZn6Pt2", "functional": "PBE", "state": "optimized geometry", "formation_enthalpy_0k_mev_per_atom": -354, "crystal_system": "orthorhombic", "mass_density_g_cm3": 10.3, "cell": [[-2.173, 2.880, 6.111], [2.173, -2.880, 6.111], [2.173, 2.880, -6.111]], "species": ["Dy", "Zn", "Zn", "Zn", "Zn", "Zn", "Zn", "Pt", "Pt"], "fractional_positions": [[0.000, 0.000, 0.000], [0.043, 0.302, 0.741], [0.297, 0.500, 0.797], [0.439, 0.698, 0.741], [0.561, 0.302, 0.259], [0.703, 0.500, 0.203], [0.957, 0.698, 0.259], [0.382, 0.882, 0.500], [0.618, 0.118, 0.500]]}

{"formula": "ZnMo2Au", "functional": "PBE", "state": "optimized geometry", "formation_enthalpy_0k_mev_per_atom": 178, "crystal_system": "orthorhombic", "mass_density_g_cm3": 11.6, "cell": [[3.319, 0.000, 0.000], [0.000, 4.577, 0.000], [0.000, 0.000, 8.541]], "species": ["Zn", "Zn", "Mo", "Mo", "Mo", "Mo", "Au", "Au"], "fractional_positions": [[0.000, 0.000, 0.000], [0.500, 0.500, 0.500], [0.000, 0.000, 0.517], [0.000, 0.500, 0.238], [0.500, 0.000, 0.738], [0.500, 0.500, 0.017], [0.000, 0.500, 0.743], [0.500, 0.000, 0.243]]}

{"formula": "CdP2BrO", "functional": "PBE", "state": "optimized geometry", "crystal_system": "tetragonal", "raw_formation_energy_ev_per_atom": 0.9407, "mass_density_g_cm3": 4.2, "cell": [[5.124, 0.000, 0.000], [0.000, 5.124, 0.000], [0.000, 0.000, 4.079]], "species": ["Cd", "P", "P", "Br", "O"], "fractional_positions": [[0.000, 0.000, 0.000], [0.000, 0.500, 0.000], [0.500, 0.000, 0.000], [0.500, 0.500, 0.500], [0.000, 0.000, 0.500]]}

{"formula": "CaSmDy2As4", "functional": "PBE", "state": "optimized geometry", "formation_enthalpy_0k_mev_per_atom": -1369, "crystal_system": "monoclinic", "mass_density_g_cm3": 6.6, "cell": [[7.224, 0.000, 0.000], [0.000, 4.163, 0.000], [-2.399, 0.000, 6.847]], "species": ["Ca", "Sm", "Dy", "Dy", "As", "As", "As", "As"], "fractional_positions": [[0.000, 0.000, 0.000], [0.500, 0.500, 0.000], [0.000, 0.500, 0.500], [0.500, 0.000, 0.500], [0.249, 0.000, 0.743], [0.255, 0.500, 0.260], [0.745, 0.500, 0.740], [0.751, 0.000, 0.257]]}

{"formula": "PmPr2In2", "functional": "PBE", "state": "optimized geometry", "formation_enthalpy_0k_mev_per_atom": -389, "crystal_system": "monoclinic", "mass_density_g_cm3": 7.2, "cell": [[4.561, 0.000, 0.000], [0.000, 5.046, 0.000], [-2.268, 0.000, 13.122]], "species": ["Pm", "Pm", "Pr", "Pr", "Pr", "Pr", "In", "In", "In", "In"], "fractional_positions": [[0.143, 0.250, 0.286], [0.857, 0.750, 0.714], [0.049, 0.750, 0.098], [0.238, 0.750, 0.478], [0.762, 0.250, 0.522], [0.951, 0.250, 0.902], [0.352, 0.250, 0.702], [0.452, 0.750, 0.905], [0.548, 0.250, 0.095], [0.648, 0.750, 0.298]]}